VASP calculation (PBE) on crystalline BaCaOs at its relaxed geometry.

Computed properties:
- space group = F-43m
- formation enthalpy at 0 K (eV/atom) = 0.65
- DOS at the Fermi energy (states/eV per cell) = 0.3
- energy (eV/atom) = -4.401
- relative energy among the computed polymorphs (meV per atom) = 21.0

a = 5.058 Å, b = 5.058 Å, c = 5.058 Å
α = 60.00°, β = 60.00°, γ = 60.00°
Fractional coordinates of all 3 atoms:
Ba1 0.000 0.000 0.000
Ca1 0.500 0.500 0.500
Os1 0.750 0.750 0.750

VASP calculation (PBE) on crystalline Ta2AgPb at its relaxed geometry.

Computed properties:
- space group = Pmmm
- formation enthalpy at 0 K (eV/atom) = 0.50
- DOS at the Fermi energy (states/eV per cell) = 2.2
- energy (eV/atom) = -7.071

a = 2.968 Å, b = 4.511 Å, c = 5.809 Å
α = 90.00°, β = 90.00°, γ = 90.00°
Fractional coordinates of all 4 atoms:
Ta1 0.000 0.000 0.240
Ta2 0.000 0.000 0.760
Ag1 0.500 0.500 0.000
Pb1 0.500 0.500 0.500

VASP calculation (PBE) on crystalline Na2DyTlCl6 at its relaxed geometry.

Computed properties:
- space group = R3
- DOS at the Fermi energy (states/eV per cell) = 0.0
- energy (eV/atom) = -3.921

a = 7.794 Å, b = 7.794 Å, c = 7.794 Å
α = 55.26°, β = 55.26°, γ = 55.26°
Fractional coordinates of all 10 atoms:
Na1 0.000 0.000 0.000
Na2 0.485 0.485 0.485
Dy1 0.681 0.681 0.681
Tl1 0.201 0.201 0.201
Cl1 0.062 0.429 0.757
Cl2 0.290 0.849 0.643
Cl3 0.429 0.757 0.062
Cl4 0.643 0.290 0.849
Cl5 0.757 0.062 0.429
Cl6 0.849 0.643 0.290

VASP calculation (PBE) on crystalline LuGaRhAu at its relaxed geometry.

Computed properties:
- space group = F-43m
- formation enthalpy at 0 K (eV/atom) = -0.66
- DOS at the Fermi energy (states/eV per cell) = 2.8
- energy (eV/atom) = -5.200

a = 4.650 Å, b = 4.650 Å, c = 4.650 Å
α = 60.00°, β = 60.00°, γ = 60.00°
Fractional coordinates of all 4 atoms:
Lu1 0.000 0.000 0.000
Ga1 0.500 0.500 0.500
Rh1 0.250 0.250 0.250
Au1 0.750 0.750 0.750

VASP calculation (PBE) on crystalline Na7LiSn5 at its relaxed geometry.

Computed properties:
- space group = Imm2
- formation enthalpy at 0 K (eV/atom) = -0.13
- DOS at the Fermi energy (states/eV per cell) = 6.2
- energy (eV/atom) = -2.527

a = 8.291 Å, b = 8.291 Å, c = 8.291 Å
α = 131.77°, β = 101.71°, γ = 97.52°
Fractional coordinates of all 13 atoms:
Na1 0.000 0.000 0.000
Na2 0.054 0.793 0.261
Na3 0.094 0.594 0.500
Na4 0.334 0.334 0.000
Na5 0.532 0.793 0.739
Na6 0.600 0.269 0.331
Na7 0.938 0.269 0.669
Li1 0.613 0.613 0.000
Sn1 0.297 0.309 0.545
Sn2 0.297 0.752 0.988
Sn3 0.482 0.982 0.500
Sn4 0.764 0.309 0.012
Sn5 0.764 0.752 0.455

VASP calculation (PBE) on crystalline LaZn2CuPt4 at its relaxed geometry.

Computed properties:
- space group = R-3m
- formation enthalpy at 0 K (eV/atom) = -0.60
- DOS at the Fermi energy (states/eV per cell) = 3.4
- energy (eV/atom) = -5.068

a = 9.031 Å, b = 9.031 Å, c = 9.031 Å
α = 27.73°, β = 27.73°, γ = 27.73°
Fractional coordinates of all 8 atoms:
La1 0.000 0.000 0.000
Zn1 0.236 0.236 0.236
Zn2 0.764 0.764 0.764
Cu1 0.500 0.500 0.500
Pt1 0.130 0.130 0.130
Pt2 0.403 0.403 0.403
Pt3 0.597 0.597 0.597
Pt4 0.870 0.870 0.870

VASP calculation (PBE) on crystalline Ho8SiGe3Se4 at its relaxed geometry.

Computed properties:
- space group = R-3m
- DOS at the Fermi energy (states/eV per cell) = 3.1
- energy (eV/atom) = -5.719

a = 8.254 Å, b = 8.254 Å, c = 8.254 Å
α = 59.64°, β = 59.64°, γ = 59.64°
Fractional coordinates of all 16 atoms:
Ho1 0.245 0.245 0.245
Ho2 0.246 0.745 0.745
Ho3 0.255 0.255 0.754
Ho4 0.255 0.754 0.255
Ho5 0.745 0.246 0.745
Ho6 0.745 0.745 0.246
Ho7 0.754 0.255 0.255
Ho8 0.755 0.755 0.755
Si1 0.500 0.500 0.500
Ge1 0.000 0.000 0.500
Ge2 0.000 0.500 0.000
Ge3 0.500 0.000 0.000
Se1 0.000 0.000 0.000
Se2 0.000 0.500 0.500
Se3 0.500 0.000 0.500
Se4 0.500 0.500 0.000

VASP calculation (PBE) on crystalline MnAuSe2 at its relaxed geometry.

Computed properties:
- space group = Pccm
- DOS at the Fermi energy (states/eV per cell) = 2.0
- energy (eV/atom) = -5.082

a = 5.583 Å, b = 6.495 Å, c = 5.612 Å
α = 90.00°, β = 90.00°, γ = 90.00°
Fractional coordinates of all 8 atoms:
Mn1 0.000 0.000 0.250
Mn2 0.000 0.000 0.750
Au1 0.500 0.000 0.000
Au2 0.500 0.000 0.500
Se1 0.165 0.256 0.000
Se2 0.165 0.744 0.500
Se3 0.835 0.256 0.500
Se4 0.835 0.744 0.000

VASP calculation (PBE) on crystalline ScAlIn at its relaxed geometry.

Computed properties:
- space group = Fmm2
- formation enthalpy at 0 K (eV/atom) = -0.20
- DOS at the Fermi energy (states/eV per cell) = 1.8
- energy (eV/atom) = -4.470

a = 6.509 Å, b = 6.415 Å, c = 3.258 Å
α = 77.01°, β = 73.80°, γ = 29.19°
Fractional coordinates of all 3 atoms:
Sc1 0.000 0.000 0.000
Al1 0.345 0.345 0.655
In1 0.683 0.683 0.317

VASP calculation (PBE) on crystalline NaNbRh2 at its relaxed geometry.

Computed properties:
- space group = P4/mmm
- formation enthalpy at 0 K (eV/atom) = -0.15
- DOS at the Fermi energy (states/eV per cell) = 2.3
- energy (eV/atom) = -6.673
- relative energy among the computed polymorphs (meV per atom) = 0.0

a = 3.121 Å, b = 3.121 Å, c = 7.379 Å
α = 90.00°, β = 90.00°, γ = 90.00°
Fractional coordinates of all 4 atoms:
Na1 0.000 0.000 0.000
Nb1 0.000 0.000 0.500
Rh1 0.500 0.500 0.295
Rh2 0.500 0.500 0.705

VASP calculation (PBE) on crystalline LaAs2Pb at its relaxed geometry.

Computed properties:
- space group = F-43m
- formation enthalpy at 0 K (eV/atom) = -0.21
- DOS at the Fermi energy (states/eV per cell) = 3.0
- energy (eV/atom) = -4.695
- relative energy among the computed polymorphs (meV per atom) = 482.2

a = 5.282 Å, b = 5.282 Å, c = 5.282 Å
α = 60.00°, β = 60.00°, γ = 60.00°
Fractional coordinates of all 4 atoms:
La1 0.000 0.000 0.000
As1 0.500 0.500 0.500
As2 0.750 0.750 0.750
Pb1 0.250 0.250 0.250

VASP calculation (PBE) on crystalline Mn3GeI8 at its relaxed geometry.

Computed properties:
- space group = C2/m
- energy (eV/atom) = -4.116

a = 8.390 Å, b = 8.390 Å, c = 8.983 Å
α = 118.36°, β = 118.36°, γ = 59.99°
Fractional coordinates of all 12 atoms:
Mn1 0.000 0.000 0.000
Mn2 0.000 0.500 0.000
Mn3 0.500 0.000 0.000
Ge1 0.500 0.500 0.000
I1 0.233 0.747 0.223
I2 0.241 0.241 0.218
I3 0.253 0.253 0.777
I4 0.253 0.767 0.777
I5 0.747 0.233 0.223
I6 0.747 0.747 0.223
I7 0.759 0.759 0.782
I8 0.767 0.253 0.777

VASP calculation (PBE) on crystalline Nd5Er4Hg at its relaxed geometry.

Computed properties:
- space group = P4/mmm
- formation enthalpy at 0 K (eV/atom) = -0.07
- DOS at the Fermi energy (states/eV per cell) = 14.4
- energy (eV/atom) = -4.309

a = 3.641 Å, b = 3.641 Å, c = 24.162 Å
α = 90.00°, β = 90.00°, γ = 90.00°
Fractional coordinates of all 10 atoms:
Nd1 0.000 0.000 0.000
Nd2 0.000 0.000 0.206
Nd3 0.000 0.000 0.413
Nd4 0.000 0.000 0.587
Nd5 0.000 0.000 0.794
Er1 0.500 0.500 0.103
Er2 0.500 0.500 0.309
Er3 0.500 0.500 0.691
Er4 0.500 0.500 0.897
Hg1 0.500 0.500 0.500

VASP calculation (PBE) on crystalline Ac2CeBi3 at its relaxed geometry.

Computed properties:
- space group = Immm
- formation enthalpy at 0 K (eV/atom) = -0.92
- DOS at the Fermi energy (states/eV per cell) = 6.5
- energy (eV/atom) = -5.220
- relative energy among the computed polymorphs (meV per atom) = 4.1

a = 8.302 Å, b = 8.302 Å, c = 8.302 Å
α = 146.44°, β = 131.73°, γ = 60.07°
Fractional coordinates of all 6 atoms:
Ac1 0.169 0.169 0.000
Ac2 0.831 0.831 0.000
Ce1 0.500 0.500 0.000
Bi1 0.000 0.500 0.500
Bi2 0.343 0.843 0.500
Bi3 0.657 0.157 0.500

VASP calculation (PBE) on crystalline Tl2Ag2Hg at its relaxed geometry.

Computed properties:
- space group = P4/mbm
- formation enthalpy at 0 K (eV/atom) = 0.14
- DOS at the Fermi energy (states/eV per cell) = 3.1
- energy (eV/atom) = -2.006
- relative energy among the computed polymorphs (meV per atom) = 49.7

a = 8.758 Å, b = 8.758 Å, c = 3.266 Å
α = 90.00°, β = 90.00°, γ = 90.00°
Fractional coordinates of all 10 atoms:
Tl1 0.181 0.319 0.000
Tl2 0.319 0.819 0.000
Tl3 0.681 0.181 0.000
Tl4 0.819 0.681 0.000
Ag1 0.115 0.615 0.500
Ag2 0.385 0.115 0.500
Ag3 0.615 0.885 0.500
Ag4 0.885 0.385 0.500
Hg1 0.000 0.000 0.000
Hg2 0.500 0.500 0.000

VASP calculation (PBE) on crystalline SrPmCu2 at its relaxed geometry.

Computed properties:
- space group = P4/mmm
- formation enthalpy at 0 K (eV/atom) = -0.09
- DOS at the Fermi energy (states/eV per cell) = 3.5
- energy (eV/atom) = -3.747
- relative energy among the computed polymorphs (meV per atom) = 0.0

a = 3.683 Å, b = 3.683 Å, c = 7.343 Å
α = 90.00°, β = 90.00°, γ = 90.00°
Fractional coordinates of all 4 atoms:
Sr1 0.000 0.000 0.000
Pm1 0.000 0.000 0.500
Cu1 0.500 0.500 0.299
Cu2 0.500 0.500 0.701

VASP calculation (PBE) on crystalline HfFeBiAu2 at its relaxed geometry.

Computed properties:
- space group = P4/mmm
- formation enthalpy at 0 K (eV/atom) = 1.41
- DOS at the Fermi energy (states/eV per cell) = 7.2
- energy (eV/atom) = -4.365

a = 5.221 Å, b = 5.221 Å, c = 5.553 Å
α = 90.00°, β = 90.00°, γ = 90.00°
Fractional coordinates of all 5 atoms:
Hf1 0.000 0.000 0.000
Fe1 0.500 0.500 0.000
Bi1 0.000 0.000 0.500
Au1 0.000 0.500 0.500
Au2 0.500 0.000 0.500

VASP calculation (PBE) on crystalline Cs2TeAuBr6 at its relaxed geometry.

Computed properties:
- space group = I4/mmm
- DOS at the Fermi energy (states/eV per cell) = 2.6
- energy (eV/atom) = -2.699

a = 8.157 Å, b = 8.157 Å, c = 8.157 Å
α = 121.90°, β = 121.90°, γ = 86.74°
Fractional coordinates of all 10 atoms:
Cs1 0.250 0.750 0.500
Cs2 0.750 0.250 0.500
Te1 0.000 0.000 0.000
Au1 0.500 0.500 0.000
Br1 0.232 0.232 0.000
Br2 0.262 0.262 0.524
Br3 0.262 0.738 0.000
Br4 0.738 0.262 0.000
Br5 0.738 0.738 0.476
Br6 0.768 0.768 0.000

VASP calculation (PBE) on crystalline Th3Sn2N2 at its relaxed geometry.

Computed properties:
- space group = C2/m
- DOS at the Fermi energy (states/eV per cell) = 1.8
- energy (eV/atom) = -7.878

a = 6.735 Å, b = 6.735 Å, c = 7.547 Å
α = 116.16°, β = 116.16°, γ = 35.39°
Fractional coordinates of all 7 atoms:
Th1 0.000 0.000 0.000
Th2 0.206 0.206 0.772
Th3 0.794 0.794 0.228
Sn1 0.452 0.452 0.640
Sn2 0.548 0.548 0.360
N1 0.199 0.199 0.080
N2 0.801 0.801 0.920

VASP calculation (PBE) on crystalline Sc2TaCl at its relaxed geometry.

Computed properties:
- space group = F-43m
- DOS at the Fermi energy (states/eV per cell) = 2.1
- energy (eV/atom) = -6.002
- relative energy among the computed polymorphs (meV per atom) = 1092.3

a = 4.901 Å, b = 4.901 Å, c = 4.901 Å
α = 60.00°, β = 60.00°, γ = 60.00°
Fractional coordinates of all 4 atoms:
Sc1 0.000 0.000 0.000
Sc2 0.250 0.250 0.250
Ta1 0.500 0.500 0.500
Cl1 0.750 0.750 0.750

VASP calculation (PBE) on crystalline Cd2AgAu at its relaxed geometry.

Computed properties:
- space group = C2/m
- formation enthalpy at 0 K (eV/atom) = -0.08
- DOS at the Fermi energy (states/eV per cell) = 1.0
- energy (eV/atom) = -2.069
- relative energy among the computed polymorphs (meV per atom) = 50.2

a = 5.050 Å, b = 5.050 Å, c = 5.476 Å
α = 98.20°, β = 98.20°, γ = 34.35°
Fractional coordinates of all 4 atoms:
Cd1 0.250 0.250 0.250
Cd2 0.750 0.750 0.750
Ag1 0.000 0.000 0.500
Au1 0.500 0.500 0.000

VASP calculation (PBE) on crystalline TaNiOs2 at its relaxed geometry.

Computed properties:
- space group = P4/mmm
- formation enthalpy at 0 K (eV/atom) = -0.04
- DOS at the Fermi energy (states/eV per cell) = 3.8
- energy (eV/atom) = -10.060

a = 3.179 Å, b = 3.179 Å, c = 5.740 Å
α = 90.00°, β = 90.00°, γ = 90.00°
Fractional coordinates of all 4 atoms:
Ta1 0.000 0.000 0.000
Ni1 0.000 0.000 0.500
Os1 0.500 0.500 0.272
Os2 0.500 0.500 0.728

VASP calculation (PBE) on crystalline AcAlSnBi at its relaxed geometry.

Computed properties:
- space group = F-43m
- formation enthalpy at 0 K (eV/atom) = -0.13
- DOS at the Fermi energy (states/eV per cell) = 4.2
- energy (eV/atom) = -4.060

a = 5.565 Å, b = 5.565 Å, c = 5.565 Å
α = 60.00°, β = 60.00°, γ = 60.00°
Fractional coordinates of all 4 atoms:
Ac1 0.000 0.000 0.000
Al1 0.750 0.750 0.750
Sn1 0.250 0.250 0.250
Bi1 0.500 0.500 0.500